## NiIr4 (PBE-GGA)

Data for crystalline NiIr4 at its relaxed geometry.

## Properties
The space group is I4/mmm. The calculation puts the calculated total energy at -38.42 eV/f.u. The formation energy comes out at 0.560 eV per atom.

The structure in extended XYZ format:
```
5
Lattice="-1.7924 1.7924 6.2327 1.7924 -1.7924 6.2327 1.7924 1.7924 -6.2327" Properties=species:S:1:pos:R:3 pbc="T T T"
Ir 0.0000 0.0000 5.0245
Ir 0.0000 0.0000 7.4409
Ir 0.0000 1.7924 3.1163
Ir 1.7924 0.0000 3.1163
Ni 0.0000 0.0000 0.0000
```